Record 1
Below is a geometry-optimized VPdS2 structure, with properties calculated at the GGA-PBE level.

Output
Uncorrected formation energy, eV/atom: -0.49
Volume, Å³ per atom: 19.6
Final energy, eV per atom: -6.13

Cell lengths 6.279, 6.279, 6.279 Å; angles 36.48, 36.48, 36.48 degrees
Each line ends with the local moment (μB).
Fractional coordinates of all 4 atoms:
1 S 0.131 0.131 0.131  -0.10
2 S 0.630 0.630 0.630  -0.11
3 Pd 0.484 0.484 0.484  -0.16
4 V 0.006 0.006 0.006  1.72

Record 2
Below is a geometry-optimized Y4Cd2H structure, with properties calculated at the GGA-PBE level.

Output
Volume, Å³ per atom: 25.3
Final energy, eV per atom: -4.64

Cell lengths 4.742, 4.742, 8.553 Å; angles 73.90, 73.90, 90.00 degrees
Fractional coordinates of all 7 atoms:
1 Y 0.822 0.822 0.356
2 Y 0.178 0.178 0.644
3 Y 0.000 0.500 0.000
4 Y 0.500 0.000 0.000
5 H 0.000 0.000 0.000
6 Cd 0.631 0.631 0.738
7 Cd 0.369 0.369 0.262

Record 3
Below is a geometry-optimized Sr4LiPu3N8 structure, with properties calculated at the GGA-PBE level.

Output
Uncorrected formation energy, eV/atom: -0.87
Volume, Å³ per atom: 15.8
Final energy, eV per atom: -8.26

Cell lengths 7.053, 7.154, 7.054 Å; angles 119.53, 119.99, 90.00 degrees
Each line ends with the local moment (μB).
Fractional coordinates of all 16 atoms:
1 Sr 0.500 0.000 0.000  0.00
2 Sr 0.500 0.000 0.500  0.00
3 Sr 0.000 0.000 0.000  0.00
4 Sr 0.000 0.000 0.500  0.00
5 Li 0.000 0.500 0.000  0.00
6 Pu 0.500 0.500 0.000  3.66
7 Pu 0.500 0.500 0.500  3.67
8 Pu 0.000 0.500 0.500  3.67
9 N 0.248 0.696 0.948  -0.22
10 N 0.248 0.696 0.496  -0.22
11 N 0.263 0.291 0.527  -0.17
12 N 0.700 0.696 0.948  -0.22
13 N 0.300 0.304 0.052  -0.22
14 N 0.737 0.709 0.473  -0.17
15 N 0.752 0.304 0.504  -0.22
16 N 0.752 0.304 0.052  -0.22

Record 4
Below is a geometry-optimized K2AgP structure, with properties calculated at the GGA-PBE level.

Output
DFT formation energy, eV per atom: 0.085
Volume, Å³ per atom: 33.9
Final energy, eV per atom: -2.53

Cell lengths 3.726, 3.726, 9.781 Å; angles 90.00, 90.00, 90.92 degrees
Fractional coordinates of all 4 atoms:
1 Ag 0.500 0.500 0.647
2 K 0.000 0.000 0.919
3 K 0.500 0.500 0.337
4 P 0.000 0.000 0.597

> Number 1 is which compound?

VPdS2

> Which formula does entry 2 have?

Y4Cd2H